Record 1
A geometry-optimized Tm2TaNbSi2 structure, computed with PBE.

Cell: 3.9807 3.9807 7.6341 Å, 90.00 90.00 90.00°
Closest atoms and distances in Å follow each position.
Positions (direct):
Nb 0.5000 0.5000 0.0000  4 Si 2.74, 4 Ta 2.81
Si 0.0000 0.5000 0.2460  2 Ta 2.74, 2 Nb 2.74, 5 Tm 2.93-3.06
Si 0.5000 0.0000 0.7540  2 Ta 2.74, 2 Nb 2.74, 5 Tm 2.93-3.06
Ta 0.0000 0.0000 0.0000  4 Si 2.74, 4 Nb 2.81
Tm 0.5000 0.0000 0.3528  5 Si 2.93-3.06
Tm 0.0000 0.5000 0.6472  5 Si 2.93-3.06

Results
space group = P-4m2, No. 115
total DFT energy (no corrections) = -7.578 eV per atom
ρ = 9.17 g cm⁻³

Record 2
A geometry-optimized TbNbSi structure, computed with PBE.

Cell: 4.5651 4.5651 4.5651 Å, 60.00 60.00 60.00°
Closest atoms and distances in Å follow each position.
Positions (direct):
Nb 0.2500 0.2500 0.2500  4 Si 2.80
Si 0.0000 0.0000 0.0000  4 Nb 2.80, 4 Tb 2.80
Tb 0.7500 0.7500 0.7500  4 Si 2.80

Results
space group = F-43m, No. 216
total DFT energy (no corrections) = -6.789 eV per atom
ρ = 6.91 g cm⁻³

- What is the total DFT energy (no corrections) in the second record?
  -6.789 eV per atom